! Cs2Rb2CrO4, optimized geometry, DFT GGA+U; values from VASP
! Final energy, Ha/atom: -0.162
&SYSTEM
  ibrav = 0, nat = 9, ntyp = 4
/
ATOMIC_SPECIES
Cr 52.00 Cr.upf
O 16.00 O.upf
Rb 85.47 Rb.upf
Cs 132.91 Cs.upf
CELL_PARAMETERS angstrom
6.554 0.013 0.019
-3.135 5.755 -0.019
-3.135 -2.039 5.382
ATOMIC_POSITIONS angstrom
Cr 0.000 0.000 0.000
O -1.108 2.967 4.282
Rb 0.142 -0.084 4.041
O -3.135 4.168 1.081
O 1.393 0.762 1.100
Rb 0.142 3.813 1.341
Cs -2.042 1.210 1.747
O -3.135 -0.452 4.282
Cs -4.227 2.506 3.617